Sr3HgSb (PBE-GGA, optimized geometry); E above lowest polymorph = 237 meV/atom; uncorrected formation energy = -0.37 eV/atom; raw total energy = -11.32 eV/cell; ρ = 3889 kg/m3
1.0
6.299 0.000 0.000
0.000 6.299 0.000
0.000 0.000 6.299
Sr Hg Sb
3 1 1
direct
0.000 0.000 0.500 Sr
0.000 0.500 0.000 Sr
0.500 0.000 0.000 Sr
0.500 0.500 0.500 Hg
0.000 0.000 0.000 Sb

Nb2TeAsP (PBE-GGA, optimized geometry); uncorrected formation energy = 1.68 eV/atom; raw total energy = -24.95 eV/cell; ρ = 5168 kg/m3
1.0
5.158 0.000 0.000
0.000 5.158 0.000
0.000 0.000 5.064
Nb Te As P
2 1 1 1
direct
0.000 0.500 0.000 Nb
0.500 0.000 0.000 Nb
0.000 0.000 0.000 Te
0.000 0.000 0.500 As
0.500 0.500 0.500 P